# 1
This record from the Open Quantum Materials Database describes a geometry-optimized CsNaZrS3 structure. The functional is PBE-GGA.

Cell: 7.988 7.988 10.642 Å, 90.00 90.00 151.67°
Positions (direct):
1 Cs 0.279 0.721 0.250
2 Cs 0.721 0.279 0.750
3 Na 0.573 0.427 0.250
4 Na 0.427 0.573 0.750
5 S 0.612 0.388 0.018
6 S 0.964 0.036 0.250
7 S 0.612 0.388 0.482
8 S 0.388 0.612 0.518
9 S 0.036 0.964 0.750
10 S 0.388 0.612 0.982
11 Zr 0.000 0.000 0.000
12 Zr 0.000 0.000 0.500

raw total energy = -61.7 eV/cell

***

# 2
This record from the Open Quantum Materials Database describes a geometry-optimized LaSnSbPt2 structure. The functional is PBE-GGA.

Cell: 4.593 4.593 10.861 Å, 90.00 90.00 90.00°
Positions (direct):
1 La 0.000 0.500 0.237
2 La 0.500 0.000 0.763
3 Pt 0.000 0.000 0.000
4 Pt 0.500 0.500 0.000
5 Pt 0.500 0.000 0.370
6 Pt 0.000 0.500 0.630
7 Sb 0.500 0.000 0.130
8 Sb 0.000 0.500 0.870
9 Sn 0.000 0.000 0.500
10 Sn 0.500 0.500 0.500

raw total energy = -59.6 eV/cell